Here is DyY6Ho3Er2 after structural relaxation from Alexandria. Energies are from PBE-GGA.

a b c (Å): 6.1384 6.1384 11.7611
angles (deg): 94.98 94.98 119.94
With the nearest neighbours (Å) after each atom.
Fractional coordinates of all 12 atoms:
Dy 0.0000 0.0000 0.0000  6 Er 3.54-3.55, 6 Y 3.54-3.55
Y 0.0833 0.4168 0.2499  6 Y 3.54-3.55, 2 Er 3.54, 1 Dy 3.55, 3 Ho 3.55
Y 0.2501 0.2501 0.7501  6 Y 3.54-3.55, 1 Dy 3.54, 2 Er 3.55, 3 Ho 3.55
Y 0.4168 0.0833 0.2499  6 Y 3.54-3.55, 2 Er 3.54, 1 Dy 3.55, 3 Ho 3.55
Y 0.5832 0.9167 0.7501  6 Y 3.54-3.55, 2 Er 3.54, 1 Dy 3.55, 3 Ho 3.55
Y 0.7499 0.7499 0.2499  6 Y 3.54-3.55, 1 Dy 3.54, 2 Er 3.55, 3 Ho 3.55
Y 0.9167 0.5832 0.7501  6 Y 3.54-3.55, 2 Er 3.54, 1 Dy 3.55, 3 Ho 3.55
Ho 0.1668 0.8332 0.5000  6 Ho 3.54-3.55, 6 Y 3.55
Ho 0.5000 0.5000 0.5000  6 Ho 3.54-3.55, 6 Y 3.55
Ho 0.8332 0.1668 0.5000  6 Ho 3.54-3.55, 6 Y 3.55
Er 0.3333 0.6667 0.0000  3 Dy 3.54-3.55, 3 Er 3.54-3.55, 6 Y 3.54-3.55
Er 0.6667 0.3333 0.0000  3 Dy 3.54-3.55, 3 Er 3.54-3.55, 6 Y 3.54-3.55

density of states at the Fermi level = 17.55 states/eV per cell
calculated formation energy = 0.55 kcal/mol of atoms
space-group type = C2/m
calculated volume = 31.51 Å³/atom